No. 1
## Li3AlTc (GGA-PBE)

Data for Li3AlTc after structural relaxation.

Structure (POSCAR):
```
Li3AlTc
1.0
4.736 0.000 0.000
0.000 4.736 0.000
0.000 0.000 4.736
Li Al Tc
3 1 1
Direct
0.000 0.000 0.500
0.000 0.500 0.000
0.500 0.000 0.000
0.500 0.500 0.500
0.000 0.000 0.000
```

Output
* DFT formation energy: 1.16 eV/atom
* DOS at the Fermi energy: 8.31 states/eV per cell
* crystal system: cubic
* VASP energy: -2.8118 eV/atom
* M_tot: 1.76 μB per cell

No. 2
## CaMgBr2 (GGA-PBE)

Data for CaMgBr2 after structural relaxation.

Structure (POSCAR):
```
CaMgBr2
1.0
1.970 1.137 10.251
-1.970 1.137 10.251
0.000 -2.275 10.251
Ca Mg Br
1 1 2
Direct
0.000 0.000 0.000
0.500 0.500 0.500
0.117 0.117 0.117
0.883 0.883 0.883
```

Output
* DOS at the Fermi energy: 0.94 states/eV per cell
* uncorrected formation energy: -0.94 eV per atom
* crystal system: trigonal
* VASP energy: -2.6784 eV/atom
* M_tot: 0.00 μB per cell

No. 3
## Tc3HRu (GGA-PBE)

Data for Tc3HRu after structural relaxation.

Structure (POSCAR):
```
Tc3HRu
1.0
3.909 0.000 0.000
0.000 3.909 0.000
0.000 0.000 3.909
Tc H Ru
3 1 1
Direct
0.000 0.000 0.500
0.000 0.500 0.000
0.500 0.000 0.000
0.000 0.000 0.000
0.500 0.500 0.500
```

Output
* DOS at the Fermi energy: 4.25 states/eV per cell
* crystal system: cubic
* VASP energy: -8.6881 eV/atom
* M_tot: 0.00 μB per cell

No. 4
## BaIn2Mo (GGA-PBE)

Data for BaIn2Mo after structural relaxation.

Structure (POSCAR):
```
BaIn2Mo
1.0
2.414 1.394 6.343
-2.414 1.394 6.343
0.000 -2.787 6.343
Ba In Mo
1 2 1
Direct
0.000 0.000 0.000
0.545 0.545 0.545
0.801 0.801 0.801
0.185 0.185 0.185
```

Output
* DFT formation energy: 0.33 eV/atom
* DOS at the Fermi energy: 2.87 states/eV per cell
* crystal system: trigonal
* VASP energy: -4.2235 eV/atom
* M_tot: 2.38 μB per cell

No. 5
## CaPr12Dy6 (GGA-PBE)

Data for CaPr12Dy6 after structural relaxation.

Structure (POSCAR):
```
CaPr12Dy6
1.0
6.772 3.910 4.344
-6.772 3.910 4.344
0.000 -7.819 4.344
Ca Pr Dy
1 12 6
Direct
0.000 0.000 0.000
0.086 0.357 0.357
0.239 0.500 0.761
0.239 0.761 0.500
0.357 0.086 0.357
0.357 0.357 0.086
0.500 0.239 0.761
0.500 0.761 0.239
0.643 0.643 0.914
0.643 0.914 0.643
0.761 0.239 0.500
0.761 0.500 0.239
0.914 0.643 0.643
0.097 0.097 0.657
0.097 0.657 0.097
0.343 0.903 0.903
0.657 0.097 0.097
0.903 0.343 0.903
0.903 0.903 0.343
```

Output
* DFT formation energy: 0.18 eV/atom
* DOS at the Fermi energy: 32.41 states/eV per cell
* crystal system: trigonal
* VASP energy: -4.3975 eV/atom
* M_tot: 0.00 μB per cell

No. 6
## ZnSe2Br (GGA-PBE)

Data for ZnSe2Br after structural relaxation.

Structure (POSCAR):
```
ZnSe2Br
1.0
1.741 -3.680 0.000
1.741 3.680 0.000
0.000 0.000 9.084
Zn Se Br
1 2 1
Direct
0.000 0.000 0.000
0.000 0.000 0.589
0.500 0.500 0.791
0.500 0.500 0.191
```

Output
* DOS at the Fermi energy: 1.07 states/eV per cell
* uncorrected formation energy: -0.06 eV per atom
* crystal system: orthorhombic
* VASP energy: -2.5355 eV/atom
* M_tot: 0.00 μB per cell

No. 7
## Ti2CrTe6 (GGA-PBE)

Data for Ti2CrTe6 after structural relaxation.

Structure (POSCAR):
```
Ti2CrTe6
1.0
6.837 0.000 0.000
0.000 7.064 0.000
-6.419 0.000 9.271
Ti Cr Te
4 2 12
Direct
0.221 0.146 0.250
0.221 0.354 0.750
0.779 0.646 0.250
0.779 0.854 0.750
0.000 0.000 0.500
0.000 0.500 0.000
0.085 0.166 0.923
0.085 0.334 0.423
0.268 0.670 0.924
0.268 0.830 0.424
0.417 0.015 0.758
0.417 0.485 0.258
0.583 0.515 0.742
0.583 0.985 0.242
0.732 0.170 0.576
0.732 0.330 0.076
0.915 0.666 0.577
0.915 0.834 0.077
```

Output
* DOS at the Fermi energy: 7.22 states/eV per cell
* uncorrected formation energy: -0.38 eV per atom
* crystal system: monoclinic
* VASP energy: -5.3007 eV/atom
* M_tot: 5.69 μB per cell

No. 8
## Ta5Pb (GGA-PBE)

Data for Ta5Pb after structural relaxation.

Structure (POSCAR):
```
Ta5Pb
1.0
5.669 0.000 0.000
-2.835 4.910 0.000
0.000 0.000 4.620
Ta Pb
5 1
Direct
0.000 0.500 0.000
0.333 0.667 0.500
0.500 0.000 0.000
0.500 0.500 0.000
0.667 0.333 0.500
0.000 0.000 0.500
```

Output
* DFT formation energy: 0.64 eV/atom
* DOS at the Fermi energy: 6.60 states/eV per cell
* crystal system: hexagonal
* VASP energy: -9.8504 eV/atom
* M_tot: 0.00 μB per cell

No. 9
## ReTc3W (GGA-PBE)

Data for ReTc3W after structural relaxation.

Structure (POSCAR):
```
ReTc3W
1.0
6.680 -2.079 0.000
6.680 2.079 0.000
-0.344 0.000 5.456
Re Tc W
2 6 2
Direct
0.011 0.011 0.256
0.989 0.989 0.744
0.210 0.210 0.314
0.396 0.396 0.989
0.405 0.405 0.508
0.595 0.595 0.492
0.604 0.604 0.011
0.790 0.790 0.686
0.191 0.191 0.818
0.809 0.809 0.182
```

Output
* DFT formation energy: 0.09 eV/atom
* DOS at the Fermi energy: 7.75 states/eV per cell
* crystal system: monoclinic
* VASP energy: -11.2109 eV/atom
* M_tot: 0.00 μB per cell

No. 10
## La3Tb8Er (GGA-PBE)

Data for La3Tb8Er after structural relaxation.

Structure (POSCAR):
```
La3Tb8Er
1.0
-4.418 4.418 5.678
4.418 -4.418 5.678
4.418 4.418 -5.678
La Tb Er
3 8 1
Direct
0.000 0.000 0.000
0.250 0.750 0.500
0.750 0.250 0.500
0.131 0.131 0.753
0.244 0.733 0.000
0.267 0.267 0.512
0.378 0.378 0.247
0.622 0.869 0.000
0.733 0.244 0.000
0.756 0.756 0.488
0.869 0.622 0.000
0.500 0.500 0.000
```

Output
* DFT formation energy: 0.59 eV/atom
* DOS at the Fermi energy: 18.66 states/eV per cell
* crystal system: tetragonal
* VASP energy: -4.1115 eV/atom
* M_tot: 0.00 μB per cell

No. 11
## K8RbNa5 (GGA-PBE)

Data for K8RbNa5 after structural relaxation.

Structure (POSCAR):
```
K8RbNa5
1.0
-5.913 5.913 6.145
5.913 -5.913 6.145
5.913 5.913 -6.145
K Rb Na
8 1 5
Direct
0.181 0.437 0.578
0.340 0.233 0.253
0.397 0.819 0.256
0.563 0.141 0.744
0.767 0.020 0.107
0.859 0.603 0.422
0.913 0.660 0.893
0.980 0.087 0.747
0.500 0.500 0.000
0.044 0.444 0.150
0.106 0.956 0.401
0.294 0.894 0.850
0.556 0.706 0.599
0.750 0.250 0.500
```

Output
* DFT formation energy: 0.06 eV/atom
* DOS at the Fermi energy: 10.74 states/eV per cell
* crystal system: tetragonal
* VASP energy: -1.1081 eV/atom
* M_tot: 0.00 μB per cell

No. 12
## SiPHS (GGA-PBE)

Data for SiPHS after structural relaxation.

Structure (POSCAR):
```
SiPHS
1.0
3.618 0.000 0.000
1.791 4.509 0.000
1.793 0.695 5.406
Si P H S
1 1 1 1
Direct
0.000 0.000 0.000
0.334 0.298 0.038
0.962 0.821 0.251
0.294 0.661 0.747
```

Output
* crystal system: triclinic
* VASP energy: -4.6702 eV/atom
* M_tot: 0.00 μB per cell

No. 13
## BaBr2O (GGA-PBE)

Data for BaBr2O after structural relaxation.

Structure (POSCAR):
```
BaBr2O
1.0
-2.048 2.048 13.117
2.048 -2.048 13.117
2.048 2.048 -13.117
Ba Br O
2 4 2
Direct
0.000 0.000 0.000
0.750 0.250 0.500
0.126 0.625 0.001
0.375 0.376 0.501
0.624 0.125 0.999
0.875 0.874 0.499
0.250 0.750 0.500
0.500 0.500 0.000
```

Output
* DOS at the Fermi energy: 5.91 states/eV per cell
* uncorrected formation energy: -0.99 eV per atom
* crystal system: tetragonal
* VASP energy: -3.5470 eV/atom
* M_tot: 1.26 μB per cell

No. 14
## CeYTm6 (GGA-PBE)

Data for CeYTm6 after structural relaxation.

Structure (POSCAR):
```
CeYTm6
1.0
6.425 0.000 0.000
-0.090 6.680 0.000
-1.530 -3.238 5.774
Ce Y Tm
1 1 6
Direct
0.000 0.000 0.000
0.500 0.000 0.000
0.229 0.904 0.475
0.249 0.451 0.999
0.266 0.427 0.518
0.734 0.573 0.482
0.751 0.549 0.001
0.771 0.096 0.525
```

Output
* DFT formation energy: 0.23 eV/atom
* DOS at the Fermi energy: 16.37 states/eV per cell
* crystal system: triclinic
* VASP energy: -4.6734 eV/atom
* M_tot: 1.79 μB per cell

No. 15
## BaHfOF2 (GGA-PBE)

Data for BaHfOF2 after structural relaxation.

Structure (POSCAR):
```
BaHfOF2
1.0
4.618 0.000 0.000
0.000 4.618 0.000
0.000 0.000 4.117
Ba Hf O F
1 1 1 2
Direct
0.000 0.000 0.000
0.500 0.500 0.500
0.500 0.500 0.000
0.000 0.500 0.500
0.500 0.000 0.500
```

Output
* DOS at the Fermi energy: 3.01 states/eV per cell
* uncorrected formation energy: -2.61 eV per atom
* crystal system: tetragonal
* VASP energy: -6.7286 eV/atom
* M_tot: 1.77 μB per cell

No. 16
## Ba3MgAl8 (GGA-PBE)

Data for Ba3MgAl8 after structural relaxation.

Structure (POSCAR):
```
Ba3MgAl8
1.0
2.966 1.712 9.635
-2.966 1.712 9.635
0.000 -3.424 9.635
Ba Mg Al
3 1 8
Direct
0.000 0.000 0.000
0.125 0.125 0.125
0.621 0.621 0.621
0.495 0.495 0.495
0.059 0.059 0.559
0.059 0.559 0.059
0.064 0.565 0.565
0.314 0.314 0.314
0.559 0.059 0.059
0.565 0.064 0.565
0.565 0.565 0.064
0.810 0.810 0.810
```

Output
* DFT formation energy: -0.11 eV/atom
* DOS at the Fermi energy: 7.00 states/eV per cell
* crystal system: trigonal
* VASP energy: -3.2199 eV/atom
* M_tot: 0.00 μB per cell

No. 17
## K2CaWAu (GGA-PBE)

Data for K2CaWAu after structural relaxation.

Structure (POSCAR):
```
K2CaWAu
1.0
6.348 0.000 0.000
0.000 6.348 0.000
0.000 0.000 5.707
K Ca W Au
2 1 1 1
Direct
0.000 0.500 0.000
0.500 0.000 0.000
0.000 0.000 0.500
0.000 0.000 0.000
0.500 0.500 0.500
```

Output
* DFT formation energy: 1.41 eV/atom
* DOS at the Fermi energy: 6.16 states/eV per cell
* crystal system: tetragonal
* VASP energy: -2.6799 eV/atom
* M_tot: 3.80 μB per cell

No. 18
## Pm3SmCo (GGA-PBE)

Data for Pm3SmCo after structural relaxation.

Structure (POSCAR):
```
Pm3SmCo
1.0
5.957 -4.248 0.000
5.957 4.248 0.000
-5.900 0.000 5.969
Pm Sm Co
6 2 2
Direct
0.046 0.046 0.338
0.046 0.454 0.208
0.454 0.046 0.208
0.546 0.954 0.792
0.954 0.546 0.792
0.954 0.954 0.662
0.454 0.454 0.748
0.546 0.546 0.252
0.250 0.250 0.874
0.750 0.750 0.126
```

Output
* DFT formation energy: -0.06 eV/atom
* DOS at the Fermi energy: 9.90 states/eV per cell
* crystal system: monoclinic
* VASP energy: -5.2798 eV/atom
* M_tot: 0.00 μB per cell

No. 19
## CrGeTeRu (GGA-PBE)

Data for CrGeTeRu after structural relaxation.

Structure (POSCAR):
```
CrGeTeRu
1.0
1.599 0.923 7.404
-1.599 0.923 7.404
0.000 -1.846 7.404
Cr Ge Te Ru
1 1 1 1
Direct
0.000 0.000 0.000
0.257 0.257 0.257
0.417 0.417 0.417
0.850 0.850 0.850
```

Output
* DOS at the Fermi energy: 3.47 states/eV per cell
* uncorrected formation energy: 0.19 eV per atom
* crystal system: trigonal
* VASP energy: -6.4738 eV/atom
* M_tot: 0.00 μB per cell

No. 20
## HfSiTe (GGA-PBE)

Data for HfSiTe after structural relaxation.

Structure (POSCAR):
```
HfSiTe
1.0
3.660 0.000 0.000
0.000 3.660 0.000
0.000 0.000 10.327
Hf Si Te
2 2 2
Direct
0.250 0.250 0.204
0.750 0.750 0.796
0.250 0.750 0.000
0.750 0.250 0.000
0.250 0.250 0.662
0.750 0.750 0.338
```

Output
* DOS at the Fermi energy: 1.43 states/eV per cell
* uncorrected formation energy: -0.72 eV per atom
* crystal system: tetragonal
* VASP energy: -6.8919 eV/atom
* M_tot: 0.00 μB per cell